Entry from Alexandria via LeMat-Bulk: crystalline PrTiC2 at its relaxed geometry (PBE).

Properties
Final energy in eV per atom: -7.77
Magnetic moment in Bohr magnetons per cell: 0.00
ΔE_f in eV/atom: 0.011

```
PrTiC2
1.0
3.393 0.000 0.000
1.696 2.938 0.000
1.696 0.979 5.716
Ti C Pr
1 2 1
Cartesian
0.000 0.000 0.000 Ti
5.089 2.938 4.606 C
1.696 0.979 1.110 C
3.393 1.959 2.858 Pr
```